No. 1
! HfTe2N2 (PBE, relaxed); values from VASP
! Crystal system = tetragonal
! E above lowest polymorph = 935 meV/atom
&SYSTEM
  ibrav = 0, nat = 5, ntyp = 3
/
ATOMIC_SPECIES
Hf 178.49 Hf.upf
Te 127.60 Te.upf
N 14.01 N.upf
CELL_PARAMETERS angstrom
4.152 0.000 0.000
0.000 4.152 0.000
0.000 0.000 5.650
ATOMIC_POSITIONS crystal
Hf 0.000 0.000 0.000
Te 0.500 0.500 0.000
Te 0.500 0.500 0.500
N 0.000 0.500 0.500
N 0.500 0.000 0.500

---

No. 2
! HfTe2N2 (PBE, relaxed); values from VASP
! Crystal system = tetragonal
! E above lowest polymorph = 0 meV/atom
&SYSTEM
  ibrav = 0, nat = 5, ntyp = 3
/
ATOMIC_SPECIES
Hf 178.49 Hf.upf
Te 127.60 Te.upf
N 14.01 N.upf
CELL_PARAMETERS angstrom
4.207 0.000 0.000
0.000 4.207 0.000
0.000 0.000 6.159
ATOMIC_POSITIONS crystal
Hf 0.000 0.000 0.000
Te 0.000 0.000 0.500
Te 0.500 0.500 0.500
N 0.000 0.500 0.000
N 0.500 0.000 0.000

---

No. 3
! HfTe2N2 (PBE, relaxed); values from VASP
! Crystal system = tetragonal
! E above lowest polymorph = 677 meV/atom
&SYSTEM
  ibrav = 0, nat = 5, ntyp = 3
/
ATOMIC_SPECIES
Hf 178.49 Hf.upf
Te 127.60 Te.upf
N 14.01 N.upf
CELL_PARAMETERS angstrom
5.685 0.000 0.000
0.000 5.685 0.000
0.000 0.000 4.068
ATOMIC_POSITIONS crystal
Hf 0.000 0.000 0.000
Te 0.000 0.500 0.000
Te 0.500 0.000 0.000
N 0.000 0.000 0.500
N 0.500 0.500 0.500

---

No. 4
! HfTe2N (PBE, relaxed); values from VASP
! Crystal system = trigonal
&SYSTEM
  ibrav = 0, nat = 12, ntyp = 3
/
ATOMIC_SPECIES
Hf 178.49 Hf.upf
Te 127.60 Te.upf
N 14.01 N.upf
CELL_PARAMETERS angstrom
3.881 0.000 0.000
-1.940 3.361 0.000
0.000 0.000 22.880
ATOMIC_POSITIONS crystal
Hf 0.000 0.000 0.000
Hf 0.333 0.667 0.667
Hf 0.667 0.333 0.333
Te 0.000 0.000 0.414
Te 0.000 0.000 0.586
Te 0.333 0.667 0.080
Te 0.333 0.667 0.253
Te 0.667 0.333 0.747
Te 0.667 0.333 0.920
N 0.000 0.000 0.500
N 0.333 0.667 0.167
N 0.667 0.333 0.833

---

no.,ΔE_f (raw) (meV per atom)
1,1348
2,412
3,1089
4,460